A geometry-optimized Tl2CuRePt structure, computed with PBE-GGA.

Properties
The volume is 27.623 Å³ per atom. The density of states at the Fermi level is 0.860 states/eV per atom. The value obtained for the total moment is 0.0 Bohr magnetons per cell. As for the formation energy: 1.125 eV per atom. The value obtained for the calculated total energy is -4.338 eV/atom.

Cell lengths 5.3591, 5.3591, 4.8090 Å; angles 90.00, 90.00, 90.00 degrees
Space group P4/mmm (No. 123)
Asymmetric unit:
Tl: 0.0000 0.5000 0.0000 x2
Cu: 0.0000 0.0000 0.5000 x1
Re: 0.5000 0.5000 0.0000 x1
Pt: 0.5000 0.5000 0.5000 x1